{"formula": "Ca3Pr3SmSe8", "functional": "PBE-GGA", "state": "relaxed", "lattice": [[-1.849, 4.814, 6.691], [1.086, -8.323, 0.955], [6.652, 4.957, -1.728]], "species": ["Pr", "Pr", "Pr", "Se", "Se", "Se", "Se", "Se", "Se", "Se", "Se", "Ca", "Ca", "Ca", "Sm"], "frac_coords": [[0.000, 0.500, 0.500], [0.500, 0.500, 0.500], [0.500, 0.000, 0.500], [0.753, 0.505, 0.758], [0.244, 0.997, 0.251], [0.247, 0.494, 0.749], [0.753, 0.506, 0.251], [0.753, 0.997, 0.251], [0.756, 0.003, 0.749], [0.247, 0.495, 0.242], [0.247, 0.003, 0.749], [0.000, 0.500, 0.000], [0.500, 0.500, 0.000], [0.000, 0.000, 0.000], [0.000, 0.000, 0.500]], "formation_energy_uncorrected_ev_per_fu": -28.80, "energy_ev_per_cell": -81.7, "dos_at_fermi_per_ev_cell": 4.7, "m_tot_mub_per_fu": 0.0, "density_g_cm3": 5.14}

=====

{"formula": "HoHfZn", "functional": "PBE-GGA", "state": "relaxed", "lattice": [[4.683, 0.000, 0.000], [2.341, 4.055, 0.000], [2.341, 1.352, 7.688]], "species": ["Hf", "Hf", "Zn", "Zn", "Ho", "Ho"], "frac_coords": [[0.800, 0.800, 0.601], [0.200, 0.200, 0.399], [0.000, 0.000, 0.000], [0.500, 0.500, 0.500], [0.620, 0.620, 0.140], [0.380, 0.380, 0.860]], "energy_ev_per_cell": -30.3, "dos_at_fermi_per_ev_cell": 7.3, "m_tot_mub_per_fu": 0.4, "density_g_cm3": 9.30, "e_above_lowest_polymorph_mev_per_atom": 337.4}